Compound: LiCa2HPd
Source: the Alexandria database
Functional: GGA-PBE
Structure: optimized geometry

The structure in extended XYZ format:
```
5
Lattice="4.906 0.000 0.000 0.000 4.906 0.000 0.000 0.000 3.912" Properties=species:S:1:pos:R:3 pbc="T T T"
Ca 0.000 2.453 0.000
Ca 2.453 0.000 0.000
H 0.000 0.000 0.000
Pd 2.453 2.453 1.956
Li 0.000 0.000 1.956
```

Output
Total DFT energy (no corrections): -3.32 eV per atom
Symmetry: P4/mmm, No. 123
Crystal system: tetragonal